Record 1
Mn2SbPb, relaxed, DFT PBE; energy relative to the elements, uncorrected = 251 meV/atom; excess energy over the best structure of this formula in the dataset = 0 meV/atom
1.0
3.306 0.000 0.000
0.000 3.306 0.000
0.000 0.000 7.826
Mn Sb Pb
2 1 1
direct
0.000 0.000 0.000
0.500 0.500 0.172
0.500 0.500 0.818
0.000 0.000 0.402

***

Record 2
Mn2SbPb, relaxed, DFT PBE; energy relative to the elements, uncorrected = 332 meV/atom; excess energy over the best structure of this formula in the dataset = 81 meV/atom
1.0
1.908 1.101 7.073
-1.908 1.101 7.073
0.000 -2.203 7.073
Mn Sb Pb
2 1 1
direct
0.244 0.244 0.244
0.756 0.756 0.756
0.500 0.500 0.500
0.000 0.000 0.000

***

Record 3
Mn2SbPb, relaxed, DFT PBE; energy relative to the elements, uncorrected = 655 meV/atom; excess energy over the best structure of this formula in the dataset = 404 meV/atom
1.0
0.000 3.571 3.571
3.571 0.000 3.571
3.571 3.571 0.000
Mn Sb Pb
2 1 1
direct
0.000 0.000 0.000
0.250 0.250 0.250
0.500 0.500 0.500
0.750 0.750 0.750